Entry one
VASP calculation (PBE-GGA) on an optimized crystal structure of ReMoPt.

Cell lengths 4.2620, 4.2620, 4.2620 Å; angles 60.00, 60.00, 60.00 degrees
Fractional coordinates of all 3 atoms:
1 Re 0.7500 0.7500 0.7500
2 Mo 0.0000 0.0000 0.0000
3 Pt 0.5000 0.5000 0.5000

Entry two
VASP calculation (PBE-GGA) on an optimized crystal structure of ReMoPt.

Cell lengths 2.7501, 4.7963, 7.4452 Å; angles 92.03, 91.96, 104.09 degrees
Fractional coordinates of all 6 atoms:
1 Pt 0.5979 0.2871 0.4739
2 Re 0.3118 0.7382 0.9402
3 Mo 0.0024 0.1828 0.1462
4 Mo 0.9207 0.8414 0.6319
5 Pt 0.3252 0.7372 0.3042
6 Re 0.6111 0.2861 0.8378

Entry three
VASP calculation (PBE-GGA) on an optimized crystal structure of ReMoPt.

Cell lengths 4.9193, 4.9193, 4.9193 Å; angles 140.77, 140.77, 56.68 degrees
Fractional coordinates of all 3 atoms:
1 Mo 0.0090 0.0090 0.0000
2 Re 0.6567 0.6567 0.0000
3 Pt 0.3343 0.3343 0.0000

How do the energies compare? Relative to the most stable structure, in meV/atom: entry one 464; entry two 0; entry three 123.